Density functional theory data (PBE+U) for a relaxed CsAlNiF6 crystal.

Lattice parameters (Å, degrees): 7.1369 7.2977 10.2031 90.00 90.00 90.00
Closest atoms and distances in Å follow each position.
Space group Imma (No. 74)
Inequivalent atoms, fractional coordinates:
Cs 0.0000 0.2500 0.1227 [4 per cell]  6 F 3.03-3.30
Al 0.2500 0.2500 0.7500 [4 per cell]  6 F 1.82-1.85
Ni 0.0000 0.0000 0.5000 [4 per cell]  6 F 2.00-2.05
F 0.0000 0.2500 0.4195 [4 per cell]  2 Ni 2.00
F 0.0000 0.2500 0.7988 [4 per cell]  2 Al 1.85
F 0.2075 0.0729 0.6286 [16 per cell]  1 Al 1.82

Summary:
Raw total energy = -181.72 eV/cell